1.
Entry from Alexandria via LeMat-Bulk: a relaxed structure of Li5Zn3Pd3 (PBE).

Output
The space group is P-62m (189). As for the formation energy: -0.203 eV per atom. The total magnetization is 0.000 μB per cell. The total energy comes out at -2.836 eV per atom. The theoretical density comes out at 4963 kg/m³.

```
11
Lattice="8.660 0.000 0.000 -4.330 7.500 0.000 0.000 0.000 2.834" Properties=species:S:1:pos:R:3 pbc="T T T"
Li -2.836 4.912 0.000
Li 0.000 5.000 0.000
Li 1.494 2.588 0.000
Li 5.672 0.000 0.000
Li 4.330 2.500 0.000
Zn -0.733 1.269 0.000
Zn 1.465 0.000 0.000
Zn 3.597 6.231 0.000
Pd -1.768 3.063 1.417
Pd 3.537 0.000 1.417
Pd 2.562 4.437 1.417
```

2.
Entry from Alexandria via LeMat-Bulk: a relaxed structure of Li3ZnPd2 (PBE).

Output
The space group is P-1 (2). The offset from the most stable computed form comes out at 0.4 kJ per mole of atoms. As for the formation energy: -0.425 eV per atom. The total magnetization is 0.000 μB per cell. The total energy comes out at -3.326 eV per atom. The theoretical density comes out at 5873 kg/m³.

```
6
Lattice="3.887 0.000 0.000 0.025 3.912 0.000 0.030 1.933 5.561" Properties=species:S:1:pos:R:3 pbc="T T T"
Li 0.000 0.000 0.000
Li 0.019 1.948 1.944
Li 3.923 3.897 3.617
Zn 1.956 1.956 0.000
Pd 1.967 1.938 3.825
Pd 1.975 3.908 1.736
```

3.
Entry from Alexandria via LeMat-Bulk: a relaxed structure of Li5Zn4Pd (PBE).

Output
The space group is I4mm (107). As for the formation energy: -0.081 eV per atom. The total magnetization is 0.000 μB per cell. The total energy comes out at -2.067 eV per atom. The theoretical density comes out at 4343 kg/m³.

```
10
Lattice="-4.078 4.078 2.315 4.078 -4.078 2.315 4.078 4.078 -2.315" Properties=species:S:1:pos:R:3 pbc="T T T"
Li 0.000 0.000 0.000
Li 2.542 2.542 -1.236
Li 1.536 -1.536 1.079
Li -1.536 1.536 1.079
Li 1.536 1.536 1.079
Zn 4.078 -1.371 0.830
Zn 4.078 1.371 0.830
Zn -1.371 4.078 0.830
Zn 1.371 4.078 0.830
Pd 0.000 0.000 2.455
```

Among the records above, which one has the highest theoretical density?
Li3ZnPd2